No. 1
# LaHo7Tm5

A relaxed structure of LaHo7Tm5 (PBE-GGA, Alexandria via LeMat-Bulk).

The formation energy is 0.2496 eV/atom.

Cell lengths 6.620, 8.651, 8.651 Å; angles 80.03, 67.50, 67.50 degrees
Sites, in units of the cell vectors:
Tm1 0.531 0.999 0.464
Tm2 0.531 0.464 0.999
Tm3 0.006 0.464 0.999
Tm4 0.006 0.999 0.464
Tm5 0.774 0.726 0.726
Ho1 0.521 0.809 0.148
Ho2 0.019 0.654 0.308
Ho3 0.521 0.148 0.809
Ho4 0.266 0.734 0.734
Ho5 0.261 0.239 0.239
Ho6 0.019 0.308 0.654
Ho7 0.576 0.424 0.424
La1 0.968 0.032 0.032



No. 2
# Cd2InTe

A relaxed structure of Cd2InTe (PBE-GGA, Alexandria via LeMat-Bulk).

For the energy relative to the lowest polymorph listed for this composition, the calculation gives 111.8 meV per atom.

Cell lengths 6.031, 6.794, 3.128 Å; angles 75.17, 93.32, 117.21 degrees
Sites, in units of the cell vectors:
Cd1 0.500 0.000 0.500
Cd2 0.000 0.000 0.000
In1 0.000 0.500 0.500
Te1 0.500 0.500 0.000



No. 3
# SrCaGaPt

A relaxed structure of SrCaGaPt (PBE-GGA, Alexandria via LeMat-Bulk).

For the energy relative to the lowest polymorph listed for this composition, the calculation gives 175.1 meV per atom. The formation energy is -0.5255 eV/atom.

Cell lengths 5.204, 5.204, 5.204 Å; angles 60.00, 60.00, 60.00 degrees
Sites, in units of the cell vectors:
Sr1 0.250 0.250 0.250
Ga1 0.000 0.000 0.000
Pt1 0.500 0.500 0.500
Ca1 0.750 0.750 0.750



No. 4
# Y3HgO

A relaxed structure of Y3HgO (PBE-GGA, Alexandria via LeMat-Bulk).

For the energy relative to the lowest polymorph listed for this composition, the calculation gives 52.9 meV per atom.

Cell lengths 6.693, 6.561, 6.501 Å; angles 105.71, 97.63, 60.65 degrees
Sites, in units of the cell vectors:
Y1 0.992 0.980 0.246
Y2 0.992 0.469 0.758
Y3 0.422 0.009 0.002
Y4 0.848 0.052 0.746
Y5 0.848 0.541 0.258
Y6 0.418 0.511 0.502
Hg1 0.427 0.007 0.502
Hg2 0.413 0.514 0.002
O1 0.804 0.318 0.502
O2 0.035 0.203 0.002



No. 5
# Ce2Nd

A relaxed structure of Ce2Nd (PBE-GGA, Alexandria via LeMat-Bulk).

For the energy relative to the lowest polymorph listed for this composition, the calculation gives 116.4 meV per atom. The formation energy is 0.2027 eV/atom.

Cell lengths 6.382, 6.382, 6.382 Å; angles 60.00, 60.00, 60.00 degrees
Sites, in units of the cell vectors:
Ce1 0.125 0.625 0.625
Ce2 0.625 0.625 0.625
Ce3 0.625 0.625 0.125
Ce4 0.625 0.125 0.625
Nd1 0.000 0.000 0.000
Nd2 0.250 0.250 0.250



No. 6
# BeVTe

A relaxed structure of BeVTe (PBE-GGA, Alexandria via LeMat-Bulk).

For the energy relative to the lowest polymorph listed for this composition, the calculation gives 163.3 meV per atom.

Cell lengths 8.521, 3.456, 8.035 Å; angles 90.00, 102.49, 90.00 degrees
Sites, in units of the cell vectors:
Te1 0.233 0.500 0.282
Te2 0.653 0.000 0.172
Te3 0.653 0.500 0.672
Te4 0.233 0.000 0.782
Be1 0.876 0.000 0.827
Be2 0.876 0.500 0.327
Be3 0.803 0.000 0.473
Be4 0.803 0.500 0.973
V1 0.084 0.000 0.459
V2 0.084 0.500 0.959
V3 0.974 0.500 0.651
V4 0.974 0.000 0.151



No. 7
# SiAu2Cl

A relaxed structure of SiAu2Cl (PBE-GGA, Alexandria via LeMat-Bulk).

For the energy relative to the lowest polymorph listed for this composition, the calculation gives 522.3 meV per atom.

Cell lengths 4.776, 4.776, 4.776 Å; angles 60.00, 60.00, 60.00 degrees
Sites, in units of the cell vectors:
Au1 0.250 0.250 0.250
Au2 0.000 0.000 0.000
Si1 0.750 0.750 0.750
Cl1 0.500 0.500 0.500



No. 8
# Nb2GePb

A relaxed structure of Nb2GePb (PBE-GGA, Alexandria via LeMat-Bulk).

The formation energy is 0.4636 eV/atom.

Cell lengths 4.106, 4.106, 10.464 Å; angles 78.68, 78.68, 90.00 degrees
Sites, in units of the cell vectors:
Pb1 0.000 0.000 0.000
Pb2 0.750 0.250 0.500
Ge1 0.500 0.500 0.000
Ge2 0.250 0.750 0.500
Nb1 0.375 0.401 0.750
Nb2 0.151 0.625 0.250
Nb3 0.875 0.849 0.750
Nb4 0.599 0.125 0.250



No. 9
# Pm2NdN3

A relaxed structure of Pm2NdN3 (PBE-GGA, Alexandria via LeMat-Bulk).

For the energy relative to the lowest polymorph listed for this composition, the calculation gives 255.2 meV per atom.

Cell lengths 3.348, 6.115, 10.239 Å; angles 90.00, 90.00, 90.00 degrees
Sites, in units of the cell vectors:
N1 0.500 0.216 0.767
N2 0.500 0.716 0.233
N3 0.000 0.222 0.439
N4 0.500 0.210 0.103
N5 0.000 0.722 0.561
N6 0.500 0.710 0.897
Nd1 0.000 0.523 0.089
Nd2 0.000 0.023 0.911
Pm1 0.000 0.016 0.247
Pm2 0.500 0.514 0.425
Pm3 0.500 0.014 0.575
Pm4 0.000 0.516 0.753



No. 10
# ErScTlO2

A relaxed structure of ErScTlO2 (PBE-GGA, Alexandria via LeMat-Bulk).

Cell lengths 3.740, 3.740, 7.337 Å; angles 104.77, 104.77, 90.00 degrees
Sites, in units of the cell vectors:
O1 0.245 0.745 0.491
O2 0.745 0.245 0.491
Sc1 0.177 0.177 0.354
Er1 0.830 0.830 0.659
Tl1 0.502 0.502 0.004



No. 11
# Ca4Co2I

A relaxed structure of Ca4Co2I (PBE-GGA, Alexandria via LeMat-Bulk).

Cell lengths 5.846, 5.846, 8.063 Å; angles 68.74, 68.74, 90.00 degrees
Sites, in units of the cell vectors:
Co1 0.425 0.425 0.151
Co2 0.575 0.575 0.849
Ca1 0.000 0.500 0.000
Ca2 0.769 0.769 0.462
Ca3 0.231 0.231 0.538
Ca4 0.500 0.000 0.000
I1 0.000 0.000 0.000



No. 12
# Pm2CoGe4Ir3

A relaxed structure of Pm2CoGe4Ir3 (PBE-GGA, Alexandria via LeMat-Bulk).

The formation energy is -0.7030 eV/atom.

Cell lengths 4.236, 4.236, 10.133 Å; angles 90.00, 90.00, 90.00 degrees
Sites, in units of the cell vectors:
Pm1 0.500 0.000 0.248
Pm2 0.000 0.500 0.752
Ge1 0.500 0.000 0.627
Ge2 0.500 0.500 0.000
Ge3 0.000 0.500 0.373
Ge4 0.000 0.000 0.000
Co1 0.500 0.500 0.500
Ir1 0.000 0.000 0.500
Ir2 0.000 0.500 0.130
Ir3 0.500 0.000 0.870



Number 1: volume 423 Å³/cell, magnetic moment 0.03 Bohr magnetons per cell, VASP energy -4.31 eV per atom. Number 2: volume 110 Å³/cell, magnetic moment 0.00 Bohr magnetons per cell, VASP energy -1.89 eV per atom. Number 3: volume 100 Å³/cell, magnetic moment 0.00 Bohr magnetons per cell, VASP energy -3.71 eV per atom. Number 4: volume 240 Å³/cell, magnetic moment 0.00 Bohr magnetons per cell, VASP energy -6.28 eV per atom. Number 5: volume 184 Å³/cell, magnetic moment 4.75 Bohr magnetons per cell, VASP energy -5.34 eV per atom. Number 6: volume 231 Å³/cell, magnetic moment 0.00 Bohr magnetons per cell, VASP energy -5.33 eV per atom. Number 7: volume 77 Å³/cell, magnetic moment 0.00 Bohr magnetons per cell, VASP energy -3.01 eV per atom. Number 8: volume 170 Å³/cell, magnetic moment 0.00 Bohr magnetons per cell, VASP energy -6.65 eV per atom. Number 9: volume 210 Å³/cell, magnetic moment 0.00 Bohr magnetons per cell, VASP energy -7.69 eV per atom. Number 10: volume 96 Å³/cell, magnetic moment 0.00 Bohr magnetons per cell, VASP energy -7.03 eV per atom. Number 11: volume 237 Å³/cell, magnetic moment 1.51 Bohr magnetons per cell, VASP energy -3.17 eV per atom. Number 12: volume 182 Å³/cell, magnetic moment 0.00 Bohr magnetons per cell, VASP energy -6.87 eV per atom.